Record 1
Below is crystalline ScPaCr2S6 at its relaxed geometry, with properties calculated at the PBE level.

Cell and atoms, written as POSCAR:
```
ScPaCr2S6
1.0
3.188 1.841 5.899
-3.188 1.841 5.899
0.000 -3.681 5.899
Sc Pa Cr S
1 1 2 6
Direct
0.000 0.000 0.000 Sc
0.502 0.502 0.502 Pa
0.315 0.315 0.315 Cr
0.815 0.815 0.815 Cr
0.078 0.423 0.709 S
0.197 0.938 0.582 S
0.423 0.709 0.078 S
0.582 0.197 0.938 S
0.709 0.078 0.423 S
0.938 0.582 0.197 S
```

## Properties
Formation energy without anion corrections, meV per atom: -1190.8
Final energy, eV/atom: -7.175



Record 2
Below is crystalline Pa2CrSeS4 at its relaxed geometry, with properties calculated at the PBE level.

Cell and atoms, written as POSCAR:
```
Pa2CrSeS4
1.0
5.603 -1.888 0.000
5.603 1.888 0.000
-3.890 0.000 8.051
Pa Cr Se S
2 1 1 4
Direct
0.170 0.170 0.250 Pa
0.830 0.830 0.750 Pa
0.000 0.000 0.500 Cr
0.500 0.500 0.000 Se
0.166 0.166 0.782 S
0.385 0.385 0.562 S
0.615 0.615 0.438 S
0.834 0.834 0.218 S
```

## Properties
Formation energy without anion corrections, meV per atom: -1293.0
Final energy, eV/atom: -7.369



Record 3
Below is crystalline SmPa2CrS8 at its relaxed geometry, with properties calculated at the PBE level.

Cell and atoms, written as POSCAR:
```
SmPa2CrS8
1.0
5.943 0.000 0.000
-0.170 6.153 0.000
-0.002 -0.001 8.142
Sm Pa Cr S
1 2 1 8
Direct
0.000 0.000 0.000 Sm
0.499 0.501 0.742 Pa
0.501 0.499 0.258 Pa
0.000 0.000 0.500 Cr
0.220 0.166 0.281 S
0.221 0.165 0.719 S
0.263 0.680 0.499 S
0.278 0.649 0.001 S
0.722 0.351 0.999 S
0.737 0.320 0.501 S
0.779 0.835 0.281 S
0.780 0.834 0.719 S
```

## Properties
Formation energy without anion corrections, meV per atom: -1334.6
Final energy, eV/atom: -6.864



Record 4
Below is crystalline Sr2PaCrS6 at its relaxed geometry, with properties calculated at the PBE level.

Cell and atoms, written as POSCAR:
```
Sr2PaCrS6
1.0
6.788 0.000 0.000
0.000 7.075 0.000
-6.645 0.000 9.761
Sr Pa Cr S
4 2 2 12
Direct
0.225 0.070 0.247 Sr
0.225 0.430 0.747 Sr
0.775 0.570 0.253 Sr
0.775 0.930 0.753 Sr
0.500 0.000 0.000 Pa
0.500 0.500 0.500 Pa
0.000 0.000 0.500 Cr
0.000 0.500 0.000 Cr
0.145 0.213 0.956 S
0.145 0.287 0.456 S
0.246 0.693 0.956 S
0.246 0.807 0.456 S
0.324 0.015 0.738 S
0.324 0.485 0.238 S
0.676 0.515 0.762 S
0.676 0.985 0.262 S
0.754 0.193 0.544 S
0.754 0.307 0.044 S
0.855 0.713 0.544 S
0.855 0.787 0.044 S
```

## Properties
Formation energy without anion corrections, meV per atom: -1582.3
Final energy, eV/atom: -6.307



Record 5
Below is crystalline TbPaCrS6 at its relaxed geometry, with properties calculated at the PBE level.

Cell and atoms, written as POSCAR:
```
TbPaCrS6
1.0
6.430 0.000 0.000
-3.215 5.569 0.000
0.000 0.000 5.810
Tb Pa Cr S
1 1 1 6
Direct
0.000 0.000 0.000 Tb
0.667 0.333 0.500 Pa
0.333 0.667 0.000 Cr
0.026 0.374 0.243 S
0.026 0.652 0.757 S
0.348 0.374 0.757 S
0.348 0.974 0.243 S
0.626 0.652 0.243 S
0.626 0.974 0.757 S
```

## Properties
Formation energy without anion corrections, meV per atom: -1175.4
Final energy, eV/atom: -6.566



Record 6
Below is crystalline Pa3Tl3CrS8 at its relaxed geometry, with properties calculated at the PBE level.

Cell and atoms, written as POSCAR:
```
Pa3Tl3CrS8
1.0
3.933 2.271 7.718
-3.933 2.271 7.718
0.000 -4.541 7.718
Pa Tl Cr S
3 3 1 8
Direct
0.000 0.500 0.500 Pa
0.500 0.000 0.500 Pa
0.500 0.500 0.000 Pa
0.000 0.000 0.500 Tl
0.000 0.500 0.000 Tl
0.500 0.000 0.000 Tl
0.000 0.000 0.000 Cr
0.223 0.223 0.741 S
0.223 0.741 0.223 S
0.259 0.777 0.777 S
0.267 0.267 0.267 S
0.733 0.733 0.733 S
0.741 0.223 0.223 S
0.777 0.259 0.777 S
0.777 0.777 0.259 S
```

## Properties
Formation energy without anion corrections, meV per atom: -1061.9
Final energy, eV/atom: -6.277



Record 7
Below is crystalline Pa2Tl2CrS6 at its relaxed geometry, with properties calculated at the PBE level.

Cell and atoms, written as POSCAR:
```
Pa2Tl2CrS6
1.0
3.367 -5.883 0.000
3.367 5.883 0.000
-2.157 0.000 7.663
Pa Tl Cr S
2 2 1 6
Direct
0.165 0.835 0.000 Pa
0.835 0.165 0.000 Pa
0.338 0.662 0.500 Tl
0.662 0.338 0.500 Tl
0.500 0.500 0.000 Cr
0.103 0.440 0.808 S
0.240 0.240 0.186 S
0.440 0.103 0.808 S
0.560 0.897 0.192 S
0.760 0.760 0.814 S
0.897 0.560 0.192 S
```

## Properties
Formation energy without anion corrections, meV per atom: -1058.2
Final energy, eV/atom: -6.341



Record 8
Below is crystalline UPaCrS6 at its relaxed geometry, with properties calculated at the PBE level.

Cell and atoms, written as POSCAR:
```
UPaCrS6
1.0
6.344 0.000 0.000
-3.172 5.494 0.000
0.000 0.000 6.011
U Pa Cr S
1 1 1 6
Direct
0.000 0.000 0.000 U
0.667 0.333 0.500 Pa
0.333 0.667 0.000 Cr
0.021 0.358 0.240 S
0.021 0.663 0.760 S
0.337 0.358 0.760 S
0.337 0.979 0.240 S
0.642 0.663 0.240 S
0.642 0.979 0.760 S
```

## Properties
Formation energy without anion corrections, meV per atom: -1133.5
Final energy, eV/atom: -7.264



Q: final energy of number 5 (TbPaCrS6)?
A: -6.566 eV/atom



Please write out number 8 again, unchanged.
Below is crystalline UPaCrS6 at its relaxed geometry, with properties calculated at the PBE level.

Cell and atoms, written as POSCAR:
```
UPaCrS6
1.0
6.344 0.000 0.000
-3.172 5.494 0.000
0.000 0.000 6.011
U Pa Cr S
1 1 1 6
Direct
0.000 0.000 0.000 U
0.667 0.333 0.500 Pa
0.333 0.667 0.000 Cr
0.021 0.358 0.240 S
0.021 0.663 0.760 S
0.337 0.358 0.760 S
0.337 0.979 0.240 S
0.642 0.663 0.240 S
0.642 0.979 0.760 S
```

## Properties
Formation energy without anion corrections, meV per atom: -1133.5
Final energy, eV/atom: -7.264